Density functional theory data (PBE) for a relaxed structure of LaIn2Fe2.

Computed properties:
The space group is P4/mbm, No. 127. The calculated volume is 187.34 Å³ per cell. For the final energy, the calculation gives -5.226 eV/atom. The formation energy comes out at 116 kJ/mol of formula units.

a b c (Å): 7.6626 7.6626 3.1906
angles (deg): 90.00 90.00 90.00
Last column: nearest neighbours and their distance in Å.
Atoms (fractional coordinates):
La1 0.0000 0.0000 0.0000  4 Fe 2.89, 2 La 3.19
La2 0.5000 0.5000 0.0000  4 Fe 2.89, 2 La 3.19
In1 0.1393 0.3607 0.5000  6 Fe 2.73-2.77, 1 In 3.02
In2 0.3607 0.8607 0.5000  6 Fe 2.73-2.77, 1 In 3.02
In3 0.6393 0.1393 0.5000  6 Fe 2.73-2.77, 1 In 3.02
In4 0.8607 0.6393 0.5000  6 Fe 2.73-2.77, 1 In 3.02
Fe1 0.1561 0.6561 0.0000  6 In 2.73-2.77, 2 La 2.89
Fe2 0.3439 0.1561 0.0000  6 In 2.73-2.77, 2 La 2.89
Fe3 0.6561 0.8439 0.0000  6 In 2.73-2.77, 2 La 2.89
Fe4 0.8439 0.3439 0.0000  6 In 2.73-2.77, 2 La 2.89

***

Density functional theory data (PBE) for a relaxed structure of LaIn3Fe.

Computed properties:
The space group is Pm-3m, No. 221. The calculated volume is 125.10 Å³ per cell. For the final energy, the calculation gives -4.469 eV/atom. The formation energy comes out at -71 kJ/mol of formula units.

a b c (Å): 5.0013 5.0013 5.0013
angles (deg): 90.00 90.00 90.00
Last column: nearest neighbours and their distance in Å.
Atoms (fractional coordinates):
La1 0.0000 0.0000 0.0000  12 In 3.54
In1 0.0000 0.5000 0.5000  2 Fe 2.50
In2 0.5000 0.0000 0.5000  2 Fe 2.50
In3 0.5000 0.5000 0.0000  2 Fe 2.50
Fe1 0.5000 0.5000 0.5000  6 In 2.50

***

Density functional theory data (PBE) for a relaxed structure of La8In2Fe.

Computed properties:
The space group is C2/m, No. 12. The calculated volume is 343.73 Å³ per cell. For the final energy, the calculation gives -5.036 eV/atom. The formation energy comes out at -197 kJ/mol of formula units.

a b c (Å): 9.7104 9.7104 6.9796
angles (deg): 110.73 110.73 34.21
Last column: nearest neighbours and their distance in Å.
Atoms (fractional coordinates):
La1 0.0020 0.0020 0.2183  3 La 3.02-3.30, 2 Fe 3.23
La2 0.2117 0.2117 0.1794  4 La 3.32-3.65, 4 In 3.40-3.69
La3 0.3584 0.3584 0.6310  1 Fe 2.92
La4 0.4113 0.4113 0.2019  1 Fe 2.53
La5 0.5887 0.5887 0.7981  1 Fe 2.53
La6 0.6416 0.6416 0.3690  1 Fe 2.92
La7 0.7883 0.7883 0.8206  4 La 3.32-3.65, 4 In 3.40-3.69
La8 0.9980 0.9980 0.7817  3 La 3.02-3.30, 2 Fe 3.23
In1 0.1744 0.1744 0.6636  11 La 3.40-3.69
In2 0.8256 0.8256 0.3364  11 La 3.40-3.69
Fe1 0.5000 0.5000 0.0000  2 La 2.53

***

Density functional theory data (PBE) for a relaxed structure of La2InFe.

Computed properties:
The space group is R3m, No. 160. The calculated volume is 106.25 Å³ per cell. For the final energy, the calculation gives -5.250 eV/atom. The formation energy comes out at 6 kJ/mol of formula units.

a b c (Å): 5.9549 5.9549 5.9549
angles (deg): 47.84 47.84 47.84
Last column: nearest neighbours and their distance in Å.
Atoms (fractional coordinates):
La1 0.0000 0.0000 0.0000  3 In 3.26, 4 Fe 3.28-3.54, 4 La 3.31-3.41
La2 0.2094 0.2094 0.2094  3 Fe 3.21, 3 In 3.23, 4 La 3.31-3.41
In1 0.4400 0.4400 0.4400  3 Fe 2.79
Fe1 0.7757 0.7757 0.7757  3 In 2.79

***

Density functional theory data (PBE) for a relaxed structure of La2InFe.

Computed properties:
The space group is Cm, No. 8. The calculated volume is 105.14 Å³ per cell. For the final energy, the calculation gives -5.309 eV/atom. The formation energy comes out at -17 kJ/mol of formula units.

a b c (Å): 6.3815 6.3815 5.1845
angles (deg): 113.94 113.94 33.35
Last column: nearest neighbours and their distance in Å.
Atoms (fractional coordinates):
La1 0.0000 0.0000 0.0000  4 Fe 3.19-3.20, 2 La 3.35, 2 In 3.48
La2 0.1919 0.1919 0.6920  2 Fe 3.07, 2 La 3.35, 4 In 3.35
In1 0.7898 0.7898 0.2898  2 Fe 2.70
Fe1 0.4695 0.4695 0.4705  2 In 2.70

***

Density functional theory data (PBE) for a relaxed structure of La3InFe.

Computed properties:
The space group is Pm-3m, No. 221. The calculated volume is 147.29 Å³ per cell. For the final energy, the calculation gives -5.407 eV/atom. The formation energy comes out at -101 kJ/mol of formula units.

a b c (Å): 5.2811 5.2811 5.2811
angles (deg): 90.00 90.00 90.00
Last column: nearest neighbours and their distance in Å.
Atoms (fractional coordinates):
La1 0.0000 0.0000 0.5000  2 Fe 2.64
La2 0.0000 0.5000 0.0000  2 Fe 2.64
La3 0.5000 0.0000 0.0000  2 Fe 2.64
In1 0.5000 0.5000 0.5000  12 La 3.73
Fe1 0.0000 0.0000 0.0000  6 La 2.64